Density functional theory data (PBE) for SrBeSeBr2 after structural relaxation. Values from VASP.

Values from the calculation:
Symmetry: P4/mmm (123)
Mass density in Mg/m³: 4.64
ΔE_f (raw) in eV/atom: -1.070
Total moment in μB/f.u.: 0.00

Structure (Quantum ESPRESSO input):
```
&SYSTEM
  ibrav = 0, nat = 5, ntyp = 4
/
ATOMIC_SPECIES
Sr 87.62 Sr.upf
Se 78.96 Se.upf
Br 79.90 Br.upf
Be 9.01 Be.upf
ATOMIC_POSITIONS angstrom
Sr -3.216 -2.769 0.490
Se -2.387 0.456 -0.508
Br -0.653 -1.048 2.126
Br -0.176 -2.177 -1.128
Be 0.000 0.000 0.000
CELL_PARAMETERS angstrom
-0.353 -4.355 -2.255
-1.305 -2.096 4.251
-4.773 0.913 -1.016
```

Density functional theory data (PBE) for SrBeSeBr2 after structural relaxation. Values from VASP.

Values from the calculation:
Symmetry: P4/mmm (123)
Mass density in Mg/m³: 2.56
ΔE_f (raw) in eV/atom: -0.081
Total moment in μB/f.u.: 2.03

Structure (Quantum ESPRESSO input):
```
&SYSTEM
  ibrav = 0, nat = 5, ntyp = 4
/
ATOMIC_SPECIES
Sr 87.62 Sr.upf
Se 78.96 Se.upf
Br 79.90 Br.upf
Be 9.01 Be.upf
ATOMIC_POSITIONS angstrom
Sr 0.000 0.000 0.000
Se 0.000 0.000 3.102
Br 0.000 2.960 0.000
Br 2.960 0.000 0.000
Be 2.960 2.960 3.102
CELL_PARAMETERS angstrom
5.920 0.000 0.000
0.000 5.920 0.000
0.000 0.000 6.204
```

Density functional theory data (PBE) for SrBeSe2Br after structural relaxation. Values from VASP.

Values from the calculation:
Symmetry: P4/mmm (123)
Mass density in Mg/m³: 4.71
ΔE_f (raw) in eV/atom: -0.925
Total moment in μB/f.u.: 0.00

Structure (Quantum ESPRESSO input):
```
&SYSTEM
  ibrav = 0, nat = 5, ntyp = 4
/
ATOMIC_SPECIES
Sr 87.62 Sr.upf
Se 78.96 Se.upf
Br 79.90 Br.upf
Be 9.01 Be.upf
ATOMIC_POSITIONS angstrom
Sr -3.102 -2.507 1.531
Se -0.273 -0.427 2.264
Se -0.115 -2.275 -0.443
Br -2.714 0.194 -0.291
Be 0.000 0.000 0.000
CELL_PARAMETERS angstrom
-0.231 -4.549 -0.885
-0.546 -0.854 4.528
-5.428 0.388 -0.582
```

Density functional theory data (PBE) for TaBeSe2Br after structural relaxation. Values from VASP.

Values from the calculation:
Symmetry: P4/mmm (123)
Mass density in Mg/m³: 5.40
ΔE_f (raw) in eV/atom: 0.339
Total moment in μB/f.u.: 0.00

Structure (Quantum ESPRESSO input):
```
&SYSTEM
  ibrav = 0, nat = 5, ntyp = 4
/
ATOMIC_SPECIES
Be 9.01 Be.upf
Se 78.96 Se.upf
Br 79.90 Br.upf
Ta 180.95 Ta.upf
ATOMIC_POSITIONS angstrom
Be -3.954 1.346 -1.405
Se -2.182 -1.048 0.657
Se -0.732 0.020 -2.399
Br -1.039 2.374 0.337
Ta 0.000 0.000 0.000
CELL_PARAMETERS angstrom
-1.465 0.041 -4.799
-4.365 -2.097 1.315
-2.078 4.749 0.674
```

Density functional theory data (PBE) for TaBeSeBr2 after structural relaxation. Values from VASP.

Values from the calculation:
Symmetry: P4/mmm (123)
Mass density in Mg/m³: 5.62
ΔE_f (raw) in eV/atom: 0.714
Total moment in μB/f.u.: 0.00

Structure (Quantum ESPRESSO input):
```
&SYSTEM
  ibrav = 0, nat = 5, ntyp = 4
/
ATOMIC_SPECIES
Be 9.01 Be.upf
Se 78.96 Se.upf
Br 79.90 Br.upf
Ta 180.95 Ta.upf
ATOMIC_POSITIONS angstrom
Be 0.000 2.600 0.000
Se 2.468 2.600 2.468
Br 0.000 0.000 2.468
Br 2.468 0.000 0.000
Ta 0.000 0.000 0.000
CELL_PARAMETERS angstrom
4.937 0.000 0.000
0.000 5.199 0.000
0.000 0.000 4.937
```

Density functional theory data (PBE) for TaBeSeBr2 after structural relaxation. Values from VASP.

Values from the calculation:
Symmetry: P4/mmm (123)
Mass density in Mg/m³: 6.96
ΔE_f (raw) in eV/atom: 0.566
Total moment in μB/f.u.: 2.71

Structure (Quantum ESPRESSO input):
```
&SYSTEM
  ibrav = 0, nat = 5, ntyp = 4
/
ATOMIC_SPECIES
Be 9.01 Be.upf
Se 78.96 Se.upf
Br 79.90 Br.upf
Ta 180.95 Ta.upf
ATOMIC_POSITIONS angstrom
Be 0.000 0.000 0.000
Se 0.000 0.000 2.436
Br 0.000 2.290 0.000
Br 2.290 0.000 0.000
Ta 2.290 2.290 2.436
CELL_PARAMETERS angstrom
4.581 0.000 0.000
0.000 4.581 0.000
0.000 0.000 4.872
```

Density functional theory data (PBE) for TaBeSe2Br after structural relaxation. Values from VASP.

Values from the calculation:
Symmetry: P4/mmm (123)
Mass density in Mg/m³: 7.36
ΔE_f (raw) in eV/atom: 0.531
Total moment in μB/f.u.: 1.79

Structure (Quantum ESPRESSO input):
```
&SYSTEM
  ibrav = 0, nat = 5, ntyp = 4
/
ATOMIC_SPECIES
Be 9.01 Be.upf
Se 78.96 Se.upf
Br 79.90 Br.upf
Ta 180.95 Ta.upf
ATOMIC_POSITIONS angstrom
Be 0.000 0.000 0.000
Se 0.000 2.320 0.000
Se 2.320 0.000 0.000
Br 0.000 0.000 2.241
Ta 2.320 2.320 2.241
CELL_PARAMETERS angstrom
4.639 0.000 0.000
0.000 4.639 0.000
0.000 0.000 4.482
```

Density functional theory data (PBE) for TaBeSeBr2 after structural relaxation. Values from VASP.

Values from the calculation:
Symmetry: P4/mmm (123)
Mass density in Mg/m³: 5.27
ΔE_f (raw) in eV/atom: 0.351
Total moment in μB/f.u.: 0.00

Structure (Quantum ESPRESSO input):
```
&SYSTEM
  ibrav = 0, nat = 5, ntyp = 4
/
ATOMIC_SPECIES
Be 9.01 Be.upf
Se 78.96 Se.upf
Br 79.90 Br.upf
Ta 180.95 Ta.upf
ATOMIC_POSITIONS angstrom
Be 2.600 2.600 2.498
Se 0.000 0.000 2.498
Br 0.000 2.600 0.000
Br 2.600 0.000 0.000
Ta 0.000 0.000 0.000
CELL_PARAMETERS angstrom
5.199 0.000 0.000
0.000 5.199 0.000
0.000 0.000 4.996
```

Density functional theory data (PBE) for BeTcSeBr2 after structural relaxation. Values from VASP.

Values from the calculation:
Symmetry: P4/mmm (123)
Mass density in Mg/m³: 4.46
ΔE_f (raw) in eV/atom: 0.658
Total moment in μB/f.u.: 0.79

Structure (Quantum ESPRESSO input):
```
&SYSTEM
  ibrav = 0, nat = 5, ntyp = 4
/
ATOMIC_SPECIES
Be 9.01 Be.upf
Se 78.96 Se.upf
Tc 98.00 Tc.upf
Br 79.90 Br.upf
ATOMIC_POSITIONS angstrom
Be 2.608 2.608 2.367
Se 0.000 0.000 2.367
Tc 0.000 0.000 0.000
Br 0.000 2.608 0.000
Br 2.608 0.000 0.000
CELL_PARAMETERS angstrom
5.216 0.000 0.000
0.000 5.216 0.000
0.000 0.000 4.735
```

Density functional theory data (PBE) for BeTcSe2Br after structural relaxation. Values from VASP.

Values from the calculation:
Symmetry: P4/mmm (123)
Mass density in Mg/m³: 4.64
ΔE_f (raw) in eV/atom: 0.696
Total moment in μB/f.u.: 0.00

Structure (Quantum ESPRESSO input):
```
&SYSTEM
  ibrav = 0, nat = 5, ntyp = 4
/
ATOMIC_SPECIES
Be 9.01 Be.upf
Se 78.96 Se.upf
Tc 98.00 Tc.upf
Br 79.90 Br.upf
ATOMIC_POSITIONS angstrom
Be 2.396 2.396 2.686
Se 0.000 2.396 0.000
Se 2.396 0.000 0.000
Tc 0.000 0.000 0.000
Br 0.000 0.000 2.686
CELL_PARAMETERS angstrom
4.792 0.000 0.000
0.000 4.792 0.000
0.000 0.000 5.371
```

Density functional theory data (PBE) for BeTcSeBr2 after structural relaxation. Values from VASP.

Values from the calculation:
Symmetry: P4/mmm (123)
Mass density in Mg/m³: 5.16
ΔE_f (raw) in eV/atom: 0.522
Total moment in μB/f.u.: 4.98

Structure (Quantum ESPRESSO input):
```
&SYSTEM
  ibrav = 0, nat = 5, ntyp = 4
/
ATOMIC_SPECIES
Be 9.01 Be.upf
Se 78.96 Se.upf
Tc 98.00 Tc.upf
Br 79.90 Br.upf
ATOMIC_POSITIONS angstrom
Be 0.000 0.000 0.000
Se -2.172 -1.340 -0.632
Tc -2.052 -0.113 -3.643
Br 0.974 -0.645 -1.982
Br -0.855 1.871 -1.030
CELL_PARAMETERS angstrom
-1.709 3.743 -2.059
1.949 -1.291 -3.963
-4.344 -2.679 -1.264
```

Density functional theory data (PBE) for BeTcSe2Br after structural relaxation. Values from VASP.

Values from the calculation:
Symmetry: P4/mmm (123)
Mass density in Mg/m³: 5.45
ΔE_f (raw) in eV/atom: 0.658
Total moment in μB/f.u.: 4.58

Structure (Quantum ESPRESSO input):
```
&SYSTEM
  ibrav = 0, nat = 5, ntyp = 4
/
ATOMIC_SPECIES
Be 9.01 Be.upf
Se 78.96 Se.upf
Tc 98.00 Tc.upf
Br 79.90 Br.upf
ATOMIC_POSITIONS angstrom
Be 0.000 0.000 0.000
Se 0.000 2.305 0.000
Se 2.305 0.000 0.000
Tc 2.305 2.305 2.471
Br 0.000 0.000 2.471
CELL_PARAMETERS angstrom
4.610 0.000 0.000
0.000 4.610 0.000
0.000 0.000 4.941
```

Density functional theory data (PBE) for TiBeSeBr2 after structural relaxation. Values from VASP.

Values from the calculation:
Symmetry: P4/mmm (123)
Mass density in Mg/m³: 3.76
ΔE_f (raw) in eV/atom: -0.014
Total moment in μB/f.u.: 0.00

Structure (Quantum ESPRESSO input):
```
&SYSTEM
  ibrav = 0, nat = 5, ntyp = 4
/
ATOMIC_SPECIES
Be 9.01 Be.upf
Se 78.96 Se.upf
Br 79.90 Br.upf
Ti 47.87 Ti.upf
ATOMIC_POSITIONS angstrom
Be 2.770 -3.044 -1.546
Se 1.836 -0.994 1.313
Br 1.589 0.288 -2.004
Br -0.655 -2.337 -0.855
Ti 0.000 0.000 0.000
CELL_PARAMETERS angstrom
-1.310 -4.675 -1.709
3.177 0.575 -4.008
3.672 -1.989 2.625
```

Density functional theory data (PBE) for TiBeSeBr2 after structural relaxation. Values from VASP.

Values from the calculation:
Symmetry: P4/mmm (123)
Mass density in Mg/m³: 4.54
ΔE_f (raw) in eV/atom: -0.023
Total moment in μB/f.u.: 1.97

Structure (Quantum ESPRESSO input):
```
&SYSTEM
  ibrav = 0, nat = 5, ntyp = 4
/
ATOMIC_SPECIES
Be 9.01 Be.upf
Se 78.96 Se.upf
Br 79.90 Br.upf
Ti 47.87 Ti.upf
ATOMIC_POSITIONS angstrom
Be 0.000 0.000 0.000
Se -2.092 1.380 0.061
Br -1.067 -1.670 1.210
Br -0.706 -0.984 -1.981
Ti -3.866 -1.273 -0.710
CELL_PARAMETERS angstrom
-1.413 -1.968 -3.961
-2.133 -3.340 2.420
-4.185 2.761 0.121
```

no.,offset from the most stable computed form (eV/atom)
1,0.000
2,0.989
3,0.000
4,0.000
5,0.363
6,0.215
7,0.192
8,0.000
9,0.136
10,0.038
11,0.000
12,0.000
13,0.009
14,0.000